Here is a relaxed Zr2Ti2Cu crystal from Alexandria. Energies are from PBEsol.

Geometry as POSCAR:
```
Zr2Ti2Cu
1.0
3.5457 0.0000 0.0000
0.0000 3.5457 0.0000
-1.7729 -1.7729 7.5520
Cu Zr Ti
1 2 2
Cartesian
0.0000 0.0000 0.0000 Cu
0.0000 0.0000 6.1371 Zr
1.7729 1.7729 1.4149 Zr
0.0000 1.7729 3.7760 Ti
1.7729 0.0000 3.7760 Ti
```

Calculated values
M_tot   0.00 μB/f.u.



Here is a relaxed ZrTiCu2 crystal from Alexandria. Energies are from PBEsol.

Geometry as POSCAR:
```
ZrTiCu2
1.0
-2.8282 3.3315 -0.7843
-4.3095 -0.8517 -0.6452
-2.9775 1.1568 3.0837
Cu Zr Ti
2 1 1
Cartesian
-2.5288 0.9092 0.4135 Cu
-7.5864 2.7275 1.2406 Cu
-5.0576 1.8183 0.8271 Zr
0.0000 0.0000 0.0000 Ti
```

Calculated values
M_tot   1.45 μB/f.u.



Here is a relaxed Zr3TiCu crystal from Alexandria. Energies are from PBEsol.

Geometry as POSCAR:
```
Zr3TiCu
1.0
4.8190 0.0000 0.0000
0.0000 4.8190 0.0000
0.0000 0.0000 4.8190
Cu Zr Ti
1 3 1
Cartesian
2.4095 2.4095 2.4095 Cu
0.0000 2.4095 0.0000 Zr
0.0000 0.0000 2.4095 Zr
2.4095 0.0000 0.0000 Zr
0.0000 0.0000 0.0000 Ti
```

Calculated values
M_tot   0.00 μB/f.u.



Here is a relaxed Tl3Cu crystal from Alexandria. Energies are from PBEsol.

Geometry as POSCAR:
```
Tl3Cu
1.0
-2.6160 -2.0563 -0.9368
3.2125 -1.2637 0.1809
-1.3979 -2.2790 8.9060
Cu Tl
1 3
Cartesian
0.0000 0.0000 0.0000 Cu
-0.6989 -1.1395 4.4530 Tl
0.1590 -3.3386 6.8843 Tl
0.9824 -1.9962 1.6384 Tl
```

Calculated values
M_tot   0.00 μB/f.u.



Here is a relaxed TlCu2W crystal from Alexandria. Energies are from PBEsol.

Geometry as POSCAR:
```
TlCu2W
1.0
-2.2032 -0.8093 -1.5580
-1.5581 -2.7728 3.6438
-0.6061 5.3680 0.6157
Cu Tl W
2 1 1
Cartesian
-3.0674 -0.0842 1.8344 Cu
-1.3001 1.8701 0.8671 Cu
-1.1016 -0.4047 -0.7790 Tl
-0.7791 -1.3864 1.8219 W
```

Calculated values
Energy above the most stable polymorph in this dataset   165 meV per atom
M_tot   0.00 μB/f.u.



Here is a relaxed TlCu2W crystal from Alexandria. Energies are from PBEsol.

Geometry as POSCAR:
```
TlCu2W
1.0
2.8564 0.0000 0.0000
1.4282 2.4737 0.0000
1.4282 0.8246 8.9658
Cu Tl W
2 1 1
Cartesian
1.4282 0.8246 2.0964 Cu
4.2846 2.4737 6.8694 Cu
2.8564 1.6491 4.4829 Tl
0.0000 0.0000 0.0000 W
```

Calculated values
Energy above the most stable polymorph in this dataset   0 meV per atom
M_tot   0.00 μB/f.u.



Here is a relaxed Y2TlCu crystal from Alexandria. Energies are from PBEsol.

Geometry as POSCAR:
```
Y2TlCu
1.0
-2.5813 -1.8385 2.0933
0.1031 -3.4502 -2.9031
5.4015 -1.4629 1.9304
Y Tl Cu
2 1 1
Cartesian
0.8062 -0.4672 0.5838 Y
3.3093 -3.6129 0.9077 Y
0.2027 -3.4799 0.6392 Tl
1.4138 -2.4865 3.0052 Cu
```

Calculated values
M_tot   0.00 μB/f.u.



Here is a relaxed YTlCu crystal from Alexandria. Energies are from PBEsol.

Geometry as POSCAR:
```
YTlCu
1.0
-0.1453 -1.8722 -4.1632
-0.8064 -4.4711 -0.4663
-3.9796 -1.4354 -1.7207
Y Tl Cu
1 1 1
Cartesian
-2.4657 -3.8893 -3.1751 Y
0.0000 0.0000 0.0000 Tl
-1.2328 -1.9447 -1.5876 Cu
```

Calculated values
M_tot   0.00 μB/f.u.



Here is a relaxed Y2TlCu crystal from Alexandria. Energies are from PBEsol.

Geometry as POSCAR:
```
Y2TlCu
1.0
-1.7656 2.0978 2.4412
-1.9631 -4.1379 2.1361
3.9722 -0.2780 3.1119
Y Tl Cu
2 1 1
Cartesian
1.9861 -0.1390 1.5559 Y
-0.9815 -2.0690 1.0680 Y
0.1217 -1.1591 3.8446 Tl
-0.8828 1.0489 1.2206 Cu
```

Calculated values
M_tot   0.00 μB/f.u.



Here is a relaxed YTlCu crystal from Alexandria. Energies are from PBEsol.

Geometry as POSCAR:
```
YTlCu
1.0
-1.7602 -0.3304 3.0218
3.7722 -1.6040 2.0219
-0.8558 4.4897 -0.0076
Y Tl Cu
1 1 1
Cartesian
0.1001 2.3484 1.6762 Y
0.7627 0.1519 3.8636 Tl
-1.4667 -0.2753 2.5180 Cu
```

Calculated values
M_tot   0.00 μB/f.u.



Here is a relaxed YTl2Cu crystal from Alexandria. Energies are from PBEsol.

Geometry as POSCAR:
```
YTl2Cu
1.0
-4.8509 -0.1699 -1.1244
-3.3387 -1.0993 3.5312
-3.0773 3.5286 1.7040
Cu Tl Y
1 2 1
Cartesian
0.0000 0.0000 0.0000 Cu
-8.4502 1.6945 3.0831 Tl
-2.8167 0.5648 1.0277 Tl
-5.6335 1.1297 2.0554 Y
```

Calculated values
Energy above the most stable polymorph in this dataset   0 meV per atom
M_tot   0.00 μB/f.u.



Here is a relaxed YTl2Cu crystal from Alexandria. Energies are from PBEsol.

Geometry as POSCAR:
```
YTl2Cu
1.0
-3.0641 -0.4275 3.2805
3.3080 -0.3396 3.0455
-0.1625 4.7393 -2.6332
Cu Tl Y
1 2 1
Cartesian
1.6337 2.0080 1.7877 Cu
0.0000 0.0000 0.0000 Tl
-1.5523 1.9641 1.9051 Tl
0.1219 -0.3836 3.1630 Y
```

Calculated values
Energy above the most stable polymorph in this dataset   3 meV per atom
M_tot   0.00 μB/f.u.



Here is a relaxed ZrTlCu2 crystal from Alexandria. Energies are from PBEsol.

Geometry as POSCAR:
```
ZrTlCu2
1.0
-1.7214 2.3953 -1.2427
-3.0144 0.4736 0.9665
1.0690 5.8891 5.7484
Cu Tl Zr
2 1 1
Cartesian
0.9929 5.7472 5.5804 Cu
-2.6692 6.7191 4.2825 Cu
-1.7482 4.5378 2.9240 Tl
-1.0066 2.0221 1.1698 Zr
```

Calculated values
M_tot   0.00 μB/f.u.



Here is a relaxed Zr3TlCu crystal from Alexandria. Energies are from PBEsol.

Geometry as POSCAR:
```
Zr3TlCu
1.0
4.8575 0.0000 0.0000
0.0000 4.8575 0.0000
0.0000 0.0000 4.8575
Tl Cu Zr
1 1 3
Cartesian
2.4287 2.4287 2.4287 Tl
0.0000 0.0000 0.0000 Cu
0.0000 2.4287 0.0000 Zr
0.0000 0.0000 2.4287 Zr
2.4287 0.0000 0.0000 Zr
```

Calculated values
M_tot   0.00 μB/f.u.



Here is a relaxed ZrTlCu2 crystal from Alexandria. Energies are from PBEsol.

Geometry as POSCAR:
```
ZrTlCu2
1.0
3.1216 0.0000 0.0000
0.0000 3.1216 0.0000
0.0000 0.0000 6.8799
Cu Tl Zr
2 1 1
Cartesian
0.0000 0.0000 0.2654 Cu
1.5608 1.5608 1.4250 Cu
0.0000 0.0000 3.2021 Tl
1.5608 1.5608 5.4274 Zr
```

Calculated values
M_tot   0.00 μB/f.u.



Here is a relaxed TmCu crystal from Alexandria. Energies are from PBEsol.

Geometry as POSCAR:
```
TmCu
1.0
-0.8168 2.4632 -2.1308
0.6166 -2.0401 -2.5947
-3.1980 -1.0225 0.0439
Tm Cu
1 1
Cartesian
0.0000 0.0000 0.0000 Tm
-1.6991 -0.2997 -2.3408 Cu
```

Calculated values
M_tot   0.00 μB/f.u.



Here is a relaxed YTmCu2 crystal from Alexandria. Energies are from PBEsol.

Geometry as POSCAR:
```
YTmCu2
1.0
4.7922 0.0000 0.0000
2.3961 4.1502 0.0000
2.3961 1.3834 3.9128
Y Tm Cu
1 1 2
Cartesian
0.0000 0.0000 0.0000 Y
4.7922 2.7668 1.9564 Tm
7.1883 4.1502 2.9346 Cu
2.3961 1.3834 0.9782 Cu
```

Calculated values
M_tot   0.00 μB/f.u.



Here is a relaxed Tm2ZnCu crystal from Alexandria. Energies are from PBEsol.

Geometry as POSCAR:
```
Tm2ZnCu
1.0
4.8197 0.0000 0.0000
2.4098 4.1740 0.0000
2.4098 1.3913 3.9353
Zn Tm Cu
1 2 1
Cartesian
0.0000 0.0000 0.0000 Zn
2.4098 1.3913 0.9838 Tm
7.2295 4.1740 2.9514 Tm
4.8197 2.7826 1.9676 Cu
```

Calculated values
M_tot   0.00 μB/f.u.



Here is a relaxed ZrVCu crystal from Alexandria. Energies are from PBEsol.

Geometry as POSCAR:
```
ZrVCu
1.0
4.9696 0.0000 0.0000
-2.4848 4.4469 0.0000
0.0000 0.0000 8.3103
Zr V Cu
4 4 4
Cartesian
2.4848 1.5516 6.7955 Zr
0.0000 2.9987 5.7483 Zr
0.0000 2.9987 2.5621 Zr
2.4848 1.5516 1.5148 Zr
0.0000 1.4289 0.0000 V
3.6768 0.7405 4.1552 V
1.2928 0.7405 4.1552 V
2.4848 2.8645 4.1552 V
0.0000 0.0055 6.2617 Cu
0.0000 0.0055 2.0486 Cu
-1.2231 3.6740 0.0000 Cu
1.2231 3.6740 0.0000 Cu
```

Calculated values
M_tot   0.25 μB/f.u.



Here is a relaxed CuW crystal from Alexandria. Energies are from PBEsol.

Geometry as POSCAR:
```
CuW
1.0
2.6030 0.0000 0.0000
-1.3015 4.4380 -0.0141
0.0000 -0.6253 4.7464
Cu W
2 2
Cartesian
1.3015 2.9109 2.9151 Cu
0.0000 0.9019 1.8172 Cu
1.3015 0.5183 4.1094 W
0.0000 3.2944 0.6229 W
```

Calculated values
Energy above the most stable polymorph in this dataset   0 meV per atom
M_tot   0.00 μB/f.u.



Number 1: DOS at the Fermi energy 1.148 states/eV/atom, formation energy from the elements 0.456 eV per atom. Number 2: DOS at the Fermi energy 0.962 states/eV/atom, formation energy from the elements -0.059 eV per atom. Number 3: DOS at the Fermi energy 1.351 states/eV/atom, formation energy from the elements 1.005 eV per atom. Number 4: DOS at the Fermi energy 0.435 states/eV/atom, formation energy from the elements 0.209 eV per atom. Number 5: DOS at the Fermi energy 0.604 states/eV/atom, formation energy from the elements 0.749 eV per atom. Number 6: DOS at the Fermi energy 0.551 states/eV/atom, formation energy from the elements 0.584 eV per atom. Number 7: DOS at the Fermi energy 0.962 states/eV/atom, formation energy from the elements -0.272 eV per atom. Number 8: DOS at the Fermi energy 1.330 states/eV/atom, formation energy from the elements -0.242 eV per atom. Number 9: DOS at the Fermi energy 0.936 states/eV/atom, formation energy from the elements -0.273 eV per atom. Number 10: DOS at the Fermi energy 0.603 states/eV/atom, formation energy from the elements -0.297 eV per atom. Number 11: DOS at the Fermi energy 0.371 states/eV/atom, formation energy from the elements -0.076 eV per atom. Number 12: DOS at the Fermi energy 0.545 states/eV/atom, formation energy from the elements -0.072 eV per atom. Number 13: DOS at the Fermi energy 0.450 states/eV/atom, formation energy from the elements 0.240 eV per atom. Number 14: DOS at the Fermi energy 0.668 states/eV/atom, formation energy from the elements 0.309 eV per atom. Number 15: DOS at the Fermi energy 0.640 states/eV/atom, formation energy from the elements 0.036 eV per atom. Number 16: DOS at the Fermi energy 0.445 states/eV/atom, formation energy from the elements -0.277 eV per atom. Number 17: DOS at the Fermi energy 0.530 states/eV/atom, formation energy from the elements -0.248 eV per atom. Number 18: DOS at the Fermi energy 0.644 states/eV/atom, formation energy from the elements -0.303 eV per atom. Number 19: DOS at the Fermi energy 1.157 states/eV/atom, formation energy from the elements -0.044 eV per atom. Number 20: DOS at the Fermi energy 0.549 states/eV/atom, formation energy from the elements 0.361 eV per atom.